# 1
The following is a DFT calculation (GGA-PBE) of crystalline Pr6Ge3Se2Br at its relaxed geometry.

```
Pr6Ge3Se2Br
1.0
-0.284 -4.185 -1.087
8.606 -0.836 0.968
-3.245 0.087 9.148
Pr Ge Se Br
6 3 2 1
direct
0.326 0.921 0.653
0.665 0.589 0.330
0.674 0.079 0.347
0.998 0.268 0.996
0.002 0.732 0.004
0.335 0.411 0.670
0.500 0.500 0.000
0.835 0.167 0.670
0.165 0.833 0.330
0.834 0.668 0.667
0.166 0.332 0.333
0.500 0.000 0.000
```

## Properties
The magnetic moment is 0.000 μB per formula unit. Its space-group type is C2/m. For the formation energy from raw total energies, the calculation gives -1.33 eV per atom.


# 2
The following is a DFT calculation (GGA-PBE) of crystalline Cr2ReRu at its relaxed geometry.

```
Cr2ReRu
1.0
2.685 0.000 0.000
0.000 3.726 0.000
0.000 0.000 5.305
Cr Re Ru
2 1 1
direct
0.000 0.000 0.003
0.500 0.500 0.242
0.000 0.000 0.489
0.500 0.500 0.766
```

## Properties
The magnetic moment is 0.000 μB per formula unit. The formation energy comes out at 164 meV/atom. Its space-group type is Pmm2.


# 3
The following is a DFT calculation (GGA-PBE) of crystalline V2SbHRh at its relaxed geometry.

```
V2SbHRh
1.0
3.820 0.000 0.000
0.000 3.820 0.000
0.000 0.000 4.329
Sb Rh H V
1 1 1 2
direct
0.500 0.500 0.500
0.000 0.000 0.500
0.000 0.000 0.000
0.000 0.500 0.000
0.500 0.000 0.000
```

## Properties
The magnetic moment is 0.000 μB per formula unit. Its calculated total energy is -6.81 eV/atom. Its space-group type is P4/mmm.


# 4
The following is a DFT calculation (GGA-PBE) of crystalline GaGeSb at its relaxed geometry.

```
GaGeSb
1.0
-1.503 -2.723 -2.958
-1.131 -0.463 4.115
-8.315 6.303 -1.577
Ga Ge Sb
2 2 2
direct
0.000 0.000 0.382
0.000 0.000 0.618
0.333 0.667 0.035
0.667 0.333 0.965
0.333 0.667 0.289
0.667 0.333 0.711
```

## Properties
The magnetic moment is 0.000 μB per formula unit. As for the polymorph energy (0 for the lowest one): 0 meV per atom. Its space-group type is P-3m1. For the formation energy from raw total energies, the calculation gives -0.04 eV per atom.


# 5
The following is a DFT calculation (GGA-PBE) of crystalline ErGaIrRu at its relaxed geometry.

```
ErGaIrRu
1.0
4.545 0.000 0.000
2.273 3.936 0.000
2.273 1.312 3.711
Ru Ir Ga Er
1 1 1 1
direct
0.750 0.750 0.750
0.250 0.250 0.250
0.000 0.000 0.000
0.500 0.500 0.500
```

## Properties
The magnetic moment is 0.000 μB per formula unit. The formation energy comes out at -477 meV/atom. Its space-group type is F-43m.


# 6
The following is a DFT calculation (GGA-PBE) of crystalline Mo2PbCl at its relaxed geometry.

```
Mo2PbCl
1.0
6.341 0.020 -0.006
3.530 5.267 0.006
-4.376 -3.688 2.730
Cl Mo Pb
1 2 1
direct
0.200 0.700 0.500
0.984 0.984 0.000
0.829 0.329 0.500
0.488 0.488 0.000
```

## Properties
The magnetic moment is 0.000 μB per formula unit. As for the polymorph energy (0 for the lowest one): 465 meV per atom. Its space-group type is Imm2. For the formation energy from raw total energies, the calculation gives 0.53 eV per atom.


What is the magnetic moment in the first record?
0.000 μB per formula unit


Which formula does entry 5 have?
ErGaIrRu


Which formula does entry 5 have?
ErGaIrRu